Ca2TlH4: relaxed, GGA-PBE.

```
data_Ca2TlH4
_chemical_formula_sum 'Ca4 Tl2 H8'
_symmetry_space_group_name_H-M 'I 4/m m m'
_symmetry_Int_Tables_number 139
_symmetry_space_group_name_Hall '-I 4 2'
_cell_length_a 3.916
_cell_length_b 3.916
_cell_length_c 14.896
_cell_angle_alpha 90.00
_cell_angle_beta 90.00
_cell_angle_gamma 90.00
loop_
_atom_site_label
_atom_site_fract_x
_atom_site_fract_y
_atom_site_fract_z
Ca1 0.000 0.000 0.145
Tl1 0.000 0.000 0.500
H1 0.000 0.000 0.294
H2 0.000 0.500 0.000
```

Results
The value obtained for the volume is 228 Å³ per cell. The uncorrected energy is -38.339 eV per cell.